Here is crystalline SrOsCl2 at its relaxed geometry from the Alexandria database. Energies are from PBE.

Calculated values
VASP energy: -4.14 eV/atom
polymorph energy (0 for the lowest one): 0.414 eV per atom
calculated volume: 124.7 Å³ per cell

Structure (POSCAR):
```
SrOsCl2
1.0
3.337 0.000 0.000
0.000 3.337 0.000
0.000 0.000 11.196
Sr Os Cl
1 1 2
Direct
0.000 0.000 0.000
0.000 0.000 0.500
0.500 0.500 0.152
0.500 0.500 0.848
```


Here is crystalline Sr2OsCl at its relaxed geometry from the Alexandria database. Energies are from PBE.

Calculated values
VASP energy: -4.34 eV/atom
polymorph energy (0 for the lowest one): 0.141 eV per atom
calculated volume: 112.1 Å³ per cell

Structure (POSCAR):
```
Sr2OsCl
1.0
-1.758 1.924 8.285
1.758 -1.924 8.285
1.758 1.924 -8.285
Sr Os Cl
2 1 1
Direct
0.000 0.000 0.000
0.770 0.270 0.500
0.402 0.402 0.000
0.162 0.662 0.500
```


Here is crystalline Sr2OsCl at its relaxed geometry from the Alexandria database. Energies are from PBE.

Calculated values
VASP energy: -4.02 eV/atom
polymorph energy (0 for the lowest one): 0.469 eV per atom
calculated volume: 303.2 Å³ per cell

Structure (POSCAR):
```
Sr2OsCl
1.0
-3.311 3.311 6.915
3.311 -3.311 6.915
3.311 3.311 -6.915
Sr Os Cl
4 2 2
Direct
0.106 0.625 0.981
0.375 0.356 0.481
0.644 0.125 0.019
0.875 0.894 0.519
0.000 0.000 0.000
0.750 0.250 0.500
0.250 0.750 0.500
0.500 0.500 0.000
```


Here is crystalline SrOsCl2 at its relaxed geometry from the Alexandria database. Energies are from PBE.

Calculated values
VASP energy: -4.14 eV/atom
polymorph energy (0 for the lowest one): 0.414 eV per atom
calculated volume: 93.8 Å³ per cell

Structure (POSCAR):
```
SrOsCl2
1.0
0.000 3.606 3.606
3.606 0.000 3.606
3.606 3.606 0.000
Sr Os Cl
1 1 2
Direct
0.000 0.000 0.000
0.500 0.500 0.500
0.250 0.250 0.250
0.750 0.750 0.750
```


Here is crystalline SrOsCl at its relaxed geometry from the Alexandria database. Energies are from PBE.

Calculated values
VASP energy: -4.50 eV/atom
polymorph energy (0 for the lowest one): 0.021 eV per atom
calculated volume: 67.4 Å³ per cell

Structure (POSCAR):
```
SrOsCl
1.0
4.165 0.000 0.000
-2.083 3.607 0.000
0.000 0.000 4.484
Sr Os Cl
1 1 1
Direct
0.000 0.000 0.000
0.333 0.667 0.501
0.667 0.333 0.499
```


Here is crystalline SrOsCl2 at its relaxed geometry from the Alexandria database. Energies are from PBE.

Calculated values
VASP energy: -4.04 eV/atom
polymorph energy (0 for the lowest one): 0.516 eV per atom
calculated volume: 152.6 Å³ per cell

Structure (POSCAR):
```
SrOsCl2
1.0
2.054 1.186 10.445
-2.054 1.186 10.445
0.000 -2.371 10.445
Sr Os Cl
1 1 2
Direct
0.000 0.000 0.000
0.500 0.500 0.500
0.282 0.282 0.282
0.718 0.718 0.718
```


Here is crystalline SrOsCl2 at its relaxed geometry from the Alexandria database. Energies are from PBE.

Calculated values
VASP energy: -4.09 eV/atom
polymorph energy (0 for the lowest one): 0.466 eV per atom
calculated volume: 90.5 Å³ per cell

Structure (POSCAR):
```
SrOsCl2
1.0
4.799 0.000 0.000
0.000 4.799 0.000
0.000 0.000 3.929
Sr Os Cl
1 1 2
Direct
0.000 0.000 0.000
0.500 0.500 0.000
0.000 0.500 0.500
0.500 0.000 0.500
```


Here is crystalline Sr2OsCl at its relaxed geometry from the Alexandria database. Energies are from PBE.

Calculated values
VASP energy: -4.00 eV/atom
polymorph energy (0 for the lowest one): 0.485 eV per atom
calculated volume: 112.4 Å³ per cell

Structure (POSCAR):
```
Sr2OsCl
1.0
-2.136 2.136 6.159
2.136 -2.136 6.159
2.136 2.136 -6.159
Sr Os Cl
2 1 1
Direct
0.000 0.000 0.000
0.750 0.250 0.500
0.500 0.500 0.000
0.250 0.750 0.500
```


Here is crystalline SrOsCl2 at its relaxed geometry from the Alexandria database. Energies are from PBE.

Calculated values
VASP energy: -4.17 eV/atom
polymorph energy (0 for the lowest one): 0.378 eV per atom
calculated volume: 101.2 Å³ per cell

Structure (POSCAR):
```
SrOsCl2
1.0
3.421 -4.238 0.000
3.421 4.238 0.000
-3.364 0.000 3.491
Sr Os Cl
1 1 2
Direct
0.000 0.000 0.000
0.500 0.500 0.000
0.000 0.500 0.500
0.500 0.000 0.500
```


Here is crystalline SrOsCl2 at its relaxed geometry from the Alexandria database. Energies are from PBE.

Calculated values
VASP energy: -4.16 eV/atom
polymorph energy (0 for the lowest one): 0.388 eV per atom
calculated volume: 88.9 Å³ per cell

Structure (POSCAR):
```
SrOsCl2
1.0
3.273 0.000 0.000
0.000 4.471 0.000
0.000 0.000 6.078
Sr Os Cl
1 1 2
Direct
0.000 0.000 0.000
0.500 0.000 0.500
0.000 0.500 0.500
0.500 0.500 0.000
```


Here is crystalline SrOsCl4 at its relaxed geometry from the Alexandria database. Energies are from PBE.

Calculated values
VASP energy: -2.87 eV/atom
calculated volume: 153.4 Å³ per cell

Structure (POSCAR):
```
SrOsCl4
1.0
0.000 4.248 4.248
4.248 0.000 4.248
4.248 4.248 0.000
Sr Os Cl
1 1 4
Direct
0.000 0.000 0.000
0.250 0.250 0.250
0.126 0.625 0.625
0.625 0.126 0.625
0.625 0.625 0.126
0.625 0.625 0.625
```


Here is crystalline Sr2OsCl at its relaxed geometry from the Alexandria database. Energies are from PBE.

Calculated values
VASP energy: -4.37 eV/atom
polymorph energy (0 for the lowest one): 0.120 eV per atom
calculated volume: 111.6 Å³ per cell

Structure (POSCAR):
```
Sr2OsCl
1.0
3.395 -1.947 0.000
3.395 1.947 0.000
-2.232 0.000 8.439
Sr Os Cl
2 1 1
Direct
0.246 0.246 0.237
0.754 0.754 0.763
0.500 0.500 0.000
0.000 0.000 0.500
```


> Look up the VASP energy of the eighth one.

-4.00 eV/atom


> The highest VASP energy belongs to which entry?

SrOsCl4